TbGdNi2B2N2: optimized geometry, GGA-PBE.

Cell and atoms, written as CIF:
```
data_TbGdNi2B2N2
_chemical_formula_sum 'Tb1 Gd1 Ni2 B2 N2'
_cell_length_a 3.5188
_cell_length_b 3.5188
_cell_length_c 7.5201
_cell_angle_alpha 90.00
_cell_angle_beta 90.00
_cell_angle_gamma 90.00
_space_group_name_H-M_alt 'P 4 m m'
_space_group_IT_number 99
loop_
_space_group_symop_operation_xyz
'x,y,z'
'-y,x,z'
'-x,-y,z'
'y,-x,z'
'-x,y,z'
'y,x,z'
'x,-y,z'
'-y,-x,z'
loop_
_atom_site_label
_atom_site_type_symbol
_atom_site_fract_x
_atom_site_fract_y
_atom_site_fract_z
_atom_site_occupancy
Tb1 Tb 0.0000 0.0000 0.0000 1
Gd1 Gd 0.5000 0.5000 0.3372 1
Ni1 Ni 0.0000 0.5000 0.6687 1
B1 B 0.0000 0.0000 0.5098 1
B2 B 0.5000 0.5000 0.8271 1
N1 N 0.0000 0.0000 0.3153 1
N2 N 0.5000 0.5000 0.0213 1
```

Computed properties:
**Electronic total energy**: -7.38 eV per atom